# 1
# GGA+U TiMn3Cu2P6O24, optimized geometry
# * Fermi-level density of states: 11.12 states/eV/f.u.
# * crystal system: trigonal
# * calculated total energy: -7.17 eV/atom
data_TiMn3Cu2P6O24
_chemical_formula_sum 'Ti3 Mn9 Cu6 P18 O72'
_space_group_name_H-M_alt 'R 3'
_space_group_IT_number 146
_space_group_name_Hall 'R 3'
_cell_length_a 8.5804
_cell_length_b 8.5804
_cell_length_c 20.8759
_cell_angle_alpha 90.00
_cell_angle_beta 90.00
_cell_angle_gamma 120.00
loop_
_atom_site_label
_atom_site_type_symbol
_atom_site_fract_x
_atom_site_fract_y
_atom_site_fract_z
_atom_site_occupancy
Ti1 Ti 0.0000 0.0000 0.0000 1
Mn1 Mn 0.0000 0.0000 0.2144 1
Mn2 Mn 0.0000 0.0000 0.4989 1
Mn3 Mn 0.0000 0.0000 0.7141 1
Cu1 Cu 0.0000 0.0000 0.3558 1
Cu2 Cu 0.0000 0.0000 0.8580 1
P1 P 0.0400 0.6674 0.7746 1
P2 P 0.0435 0.3759 0.2731 1
O1 O 0.0018 0.1957 0.6681 1
O2 O 0.0018 0.1969 0.5445 1
O3 O 0.0170 0.8362 0.7795 1
O4 O 0.0243 0.1850 0.2797 1
O5 O 0.1353 0.6683 0.8361 1
O6 O 0.1476 0.6719 0.7145 1
O7 O 0.1667 0.4843 0.6024 1
O8 O 0.1723 0.6906 0.0993 1

---

# 2
# GGA+U PaMnCu2O6, optimized geometry
# * Fermi-level density of states: 0.61 states/eV/f.u.
# * crystal system: triclinic
# * calculated total energy: -7.25 eV/atom
data_PaMnCu2O6
_chemical_formula_sum 'Pa1 Mn1 Cu2 O6'
_space_group_name_H-M_alt 'P 1'
_space_group_IT_number 1
_cell_length_a 5.2535
_cell_length_b 5.2778
_cell_length_c 5.6324
_cell_angle_alpha 62.20
_cell_angle_beta 86.54
_cell_angle_gamma 62.90
loop_
_space_group_symop_operation_xyz
'x,y,z'
loop_
_atom_site_label
_atom_site_type_symbol
_atom_site_fract_x
_atom_site_fract_y
_atom_site_fract_z
_atom_site_occupancy
Pa1 Pa 0.0000 0.0000 0.0000 1
Mn1 Mn 0.5026 0.9986 0.4956 1
Cu1 Cu 0.3065 0.3974 0.8993 1
Cu2 Cu 0.7843 0.4159 0.4037 1
O1 O 0.0680 0.5111 0.1864 1
O2 O 0.2666 0.8386 0.7342 1
O3 O 0.3950 0.9354 0.1982 1
O4 O 0.5871 0.1968 0.6914 1
O5 O 0.7182 0.1925 0.2432 1
O6 O 0.8959 0.4913 0.6830 1

---

# 3
# GGA+U PaMnCu2O8, optimized geometry
# * Fermi-level density of states: 10.06 states/eV/f.u.
# * crystal system: tetragonal
# * calculated total energy: -6.60 eV/atom
data_PaMnCu2O8
_chemical_formula_sum 'Pa2 Mn2 Cu4 O16'
_space_group_name_H-M_alt 'I -4 m 2'
_space_group_IT_number 119
_space_group_name_Hall 'I -4 -2'
_cell_length_a 6.6198
_cell_length_b 6.6198
_cell_length_c 6.7732
_cell_angle_alpha 90.00
_cell_angle_beta 90.00
_cell_angle_gamma 90.00
loop_
_atom_site_label
_atom_site_type_symbol
_atom_site_fract_x
_atom_site_fract_y
_atom_site_fract_z
_atom_site_occupancy
Pa1 Pa 0.0000 0.0000 0.0000 1
Mn1 Mn 0.0000 0.5000 0.2500 1
Cu1 Cu 0.0000 0.0000 0.5000 1
Cu2 Cu 0.0000 0.5000 0.7500 1
O1 O 0.0000 0.1978 0.2977 1
O2 O 0.0000 0.3152 0.9480 1

---

# 4
# GGA+U PaMn4CuO8, optimized geometry
# * Fermi-level density of states: 5.76 states/eV/f.u.
# * crystal system: trigonal
# * calculated total energy: -7.84 eV/atom
data_PaMn4CuO8
_chemical_formula_sum 'Pa3 Mn12 Cu3 O24'
_space_group_name_H-M_alt 'R 3 m'
_space_group_IT_number 160
_space_group_name_Hall 'R 3 -2"'
_cell_length_a 6.2597
_cell_length_b 6.2597
_cell_length_c 15.9735
_cell_angle_alpha 90.00
_cell_angle_beta 90.00
_cell_angle_gamma 120.00
loop_
_atom_site_label
_atom_site_type_symbol
_atom_site_fract_x
_atom_site_fract_y
_atom_site_fract_z
_atom_site_occupancy
Pa1 Pa 0.0000 0.0000 0.0000 1
Mn1 Mn 0.0000 0.0000 0.6321 1
Mn2 Mn 0.1671 0.3343 0.8318 1
Cu1 Cu 0.0000 0.0000 0.3596 1
O1 O 0.0000 0.0000 0.2330 1
O2 O 0.0000 0.0000 0.7663 1
O3 O 0.0151 0.5075 0.7507 1
O4 O 0.1761 0.3523 0.5804 1

---

# 5
# GGA+U PaMnCuO5, optimized geometry
# * Fermi-level density of states: 1.53 states/eV/f.u.
# * crystal system: monoclinic
# * calculated total energy: -7.74 eV/atom
data_PaMnCuO5
_chemical_formula_sum 'Pa4 Mn4 Cu4 O20'
_space_group_name_H-M_alt 'C 1 2/c 1'
_space_group_IT_number 15
_cell_length_a 6.5186
_cell_length_b 8.9140
_cell_length_c 7.5404
_cell_angle_alpha 90.00
_cell_angle_beta 115.39
_cell_angle_gamma 90.00
loop_
_space_group_symop_operation_xyz
'x,y,z'
'-x,-y,-z'
'-x,y,-z+1/2'
'x,-y,z+1/2'
'x+1/2,y+1/2,z'
'-x+1/2,-y+1/2,-z'
'-x+1/2,y+1/2,-z+1/2'
'x+1/2,-y+1/2,z+1/2'
loop_
_atom_site_label
_atom_site_type_symbol
_atom_site_fract_x
_atom_site_fract_y
_atom_site_fract_z
_atom_site_occupancy
Pa1 Pa 0.0000 0.1761 0.2500 1
Mn1 Mn 0.0000 0.5000 0.0000 1
Cu1 Cu 0.0000 0.1797 0.7500 1
O1 O 0.0000 0.4148 0.2500 1
O2 O 0.0990 0.2905 0.5826 1
O3 O 0.1708 0.0199 0.9265 1

---

# 6
# GGA+U PaMnCuO6, optimized geometry
# * crystal system: trigonal
# * calculated total energy: -7.54 eV/atom
data_PaMnCuO6
_chemical_formula_sum 'Pa1 Mn1 Cu1 O6'
_space_group_name_H-M_alt 'P 3 1 2'
_space_group_IT_number 149
_cell_length_a 5.0244
_cell_length_b 5.0244
_cell_length_c 4.8013
_cell_angle_alpha 90.00
_cell_angle_beta 90.00
_cell_angle_gamma 120.00
loop_
_space_group_symop_operation_xyz
'x,y,z'
'-y,x-y,z'
'-x+y,-x,z'
'-y,-x,-z'
'-x+y,y,-z'
'x,x-y,-z'
loop_
_atom_site_label
_atom_site_type_symbol
_atom_site_fract_x
_atom_site_fract_y
_atom_site_fract_z
_atom_site_occupancy
Pa1 Pa 0.0000 0.0000 0.0000 1
Mn1 Mn 0.6667 0.3333 0.5000 1
Cu1 Cu 0.3333 0.6667 0.5000 1
O1 O 0.3569 0.0110 0.7271 1

---

# 7
# GGA+U Pa2MnCuO8, optimized geometry
# * Fermi-level density of states: 2.98 states/eV/f.u.
# * crystal system: tetragonal
# * calculated total energy: -8.23 eV/atom
data_Pa2MnCuO8
_chemical_formula_sum 'Pa4 Mn2 Cu2 O16'
_space_group_name_H-M_alt 'I -4'
_space_group_IT_number 82
_cell_length_a 5.2861
_cell_length_b 5.2861
_cell_length_c 10.8332
_cell_angle_alpha 90.00
_cell_angle_beta 90.00
_cell_angle_gamma 90.00
loop_
_space_group_symop_operation_xyz
'x,y,z'
'y,-x,-z'
'-x,-y,z'
'-y,x,-z'
'x+1/2,y+1/2,z+1/2'
'y+1/2,-x+1/2,-z+1/2'
'-x+1/2,-y+1/2,z+1/2'
'-y+1/2,x+1/2,-z+1/2'
loop_
_atom_site_label
_atom_site_type_symbol
_atom_site_fract_x
_atom_site_fract_y
_atom_site_fract_z
_atom_site_occupancy
Pa1 Pa 0.0000 0.0000 0.0000 1
Pa2 Pa 0.0000 0.5000 0.2500 1
Mn1 Mn 0.0000 0.0000 0.5000 1
Cu1 Cu 0.0000 0.5000 0.7500 1
O1 O 0.1696 0.2091 0.8103 1
O2 O 0.1707 0.7066 0.4361 1

---

# 8
# GGA+U MnCuPb2O6, optimized geometry
# * Fermi-level density of states: 3.74 states/eV/f.u.
# * crystal system: trigonal
# * calculated total energy: -5.80 eV/atom
data_MnCuPb2O6
_chemical_formula_sum 'Mn3 Cu3 Pb6 O18'
_space_group_name_H-M_alt 'R 3'
_space_group_IT_number 146
_space_group_name_Hall 'R 3'
_cell_length_a 5.5135
_cell_length_b 5.5135
_cell_length_c 14.3721
_cell_angle_alpha 90.00
_cell_angle_beta 90.00
_cell_angle_gamma 120.00
loop_
_atom_site_label
_atom_site_type_symbol
_atom_site_fract_x
_atom_site_fract_y
_atom_site_fract_z
_atom_site_occupancy
Mn1 Mn 0.0000 0.0000 0.0000 1
Cu1 Cu 0.0000 0.0000 0.5068 1
Pb1 Pb 0.0000 0.0000 0.2911 1
Pb2 Pb 0.0000 0.0000 0.7777 1
O1 O 0.0592 0.3560 0.5776 1
O2 O 0.0843 0.7450 0.0720 1

---

# 9
# GGA+U MnCuPbO4, optimized geometry
# * crystal system: orthorhombic
# * calculated total energy: -5.85 eV/atom
data_MnCuPbO4
_chemical_formula_sum 'Mn4 Cu4 Pb4 O16'
_space_group_name_H-M_alt 'I m m a'
_space_group_IT_number 74
_space_group_name_Hall '-I 2b 2'
_cell_length_a 6.1088
_cell_length_b 8.2349
_cell_length_c 8.2939
_cell_angle_alpha 90.00
_cell_angle_beta 90.00
_cell_angle_gamma 90.00
loop_
_atom_site_label
_atom_site_type_symbol
_atom_site_fract_x
_atom_site_fract_y
_atom_site_fract_z
_atom_site_occupancy
Mn1 Mn 0.0000 0.2500 0.0939 1
Cu1 Cu 0.2500 0.2500 0.7500 1
Pb1 Pb 0.0000 0.0000 0.5000 1
O1 O 0.0000 0.0777 0.2032 1
O2 O 0.2446 0.2500 0.9696 1

---

# 10
# GGA+U MnCuPdO4, optimized geometry
# * Fermi-level density of states: 0.69 states/eV/f.u.
# * crystal system: orthorhombic
# * calculated total energy: -6.08 eV/atom
data_MnCuPdO4
_chemical_formula_sum 'Mn4 Cu4 Pd4 O16'
_space_group_name_H-M_alt 'I m m a'
_space_group_IT_number 74
_space_group_name_Hall '-I 2b 2'
_cell_length_a 5.9301
_cell_length_b 6.0975
_cell_length_c 8.8662
_cell_angle_alpha 90.00
_cell_angle_beta 90.00
_cell_angle_gamma 90.00
loop_
_atom_site_label
_atom_site_type_symbol
_atom_site_fract_x
_atom_site_fract_y
_atom_site_fract_z
_atom_site_occupancy
Mn1 Mn 0.2500 0.2500 0.2500 1
Cu1 Cu 0.0000 0.2500 0.6375 1
Pd1 Pd 0.0000 0.0000 0.0000 1
O1 O 0.0000 0.0282 0.2343 1
O2 O 0.2366 0.2500 0.9996 1

---

# 11
# GGA+U Pm2MnCuO5, optimized geometry
# * Fermi-level density of states: 4.19 states/eV/f.u.
# * crystal system: tetragonal
# * calculated total energy: -7.19 eV/atom
data_Pm2MnCuO5
_chemical_formula_sum 'Pm4 Mn2 Cu2 O10'
_space_group_name_H-M_alt 'P 4/m b m'
_space_group_IT_number 127
_space_group_name_Hall '-P 4 2ab'
_cell_length_a 6.6912
_cell_length_b 6.6912
_cell_length_c 5.6782
_cell_angle_alpha 90.00
_cell_angle_beta 90.00
_cell_angle_gamma 90.00
loop_
_atom_site_label
_atom_site_type_symbol
_atom_site_fract_x
_atom_site_fract_y
_atom_site_fract_z
_atom_site_occupancy
Pm1 Pm 0.1768 0.3232 0.0000 1
Mn1 Mn 0.0000 0.5000 0.5000 1
Cu1 Cu 0.0000 0.0000 0.5000 1
O1 O 0.0000 0.0000 0.0000 1
O2 O 0.1353 0.6353 0.2563 1

---

# 12
# GGA+U Pm2MnCuO6, optimized geometry
# * Fermi-level density of states: 2.10 states/eV/f.u.
# * crystal system: monoclinic
# * calculated total energy: -7.35 eV/atom
data_Pm2MnCuO6
_chemical_formula_sum 'Pm4 Mn2 Cu2 O12'
_space_group_name_H-M_alt 'P 1 21/c 1'
_space_group_IT_number 14
_cell_length_a 5.4276
_cell_length_b 5.7913
_cell_length_c 9.2582
_cell_angle_alpha 90.00
_cell_angle_beta 125.65
_cell_angle_gamma 90.00
loop_
_space_group_symop_operation_xyz
'x,y,z'
'-x,-y,-z'
'-x,y+1/2,-z+1/2'
'x,-y+1/2,z+1/2'
loop_
_atom_site_label
_atom_site_type_symbol
_atom_site_fract_x
_atom_site_fract_y
_atom_site_fract_z
_atom_site_occupancy
Pm1 Pm 0.2329 0.0707 0.2496 1
Mn1 Mn 0.5000 0.0000 0.0000 1
Cu1 Cu 0.0000 0.0000 0.5000 1
O1 O 0.1639 0.1824 0.9532 1
O2 O 0.2652 0.7123 0.9511 1
O3 O 0.3447 0.0283 0.7500 1